# 1
## PmY3Cu4 (PBE)

Data for a relaxed PmY3Cu4 crystal. Values from VASP.

Summary:
* energy of formation from the pure elements: -0.220 eV/atom
* crystal system: tetragonal
* total DFT energy (no corrections): -5.29 eV per atom
* symmetry: P4/mmm
* size of the total moment: 0.00 μB/atom

```
&SYSTEM
  ibrav = 0, nat = 8, ntyp = 3
/
ATOMIC_SPECIES
Pm 145.00 Pm.upf
Y 88.91 Y.upf
Cu 63.55 Cu.upf
CELL_PARAMETERS angstrom
4.9588 0.0000 0.0000
0.0000 4.9588 0.0000
0.0000 0.0000 6.9984
ATOMIC_POSITIONS angstrom
Pm 0.0000 0.0000 0.0000
Y 0.0000 0.0000 3.4992
Y 2.4794 2.4794 0.0000
Y 2.4794 2.4794 3.4992
Cu 0.0000 2.4794 1.7883
Cu 0.0000 2.4794 5.2100
Cu 2.4794 0.0000 1.7883
Cu 2.4794 0.0000 5.2100
```


# 2
## PmYCu2 (PBE)

Data for a relaxed PmYCu2 crystal. Values from VASP.

Summary:
* energy of formation from the pure elements: -0.195 eV/atom
* crystal system: cubic
* total DFT energy (no corrections): -5.05 eV per atom
* symmetry: Fm-3m
* size of the total moment: 0.00 μB/atom

```
&SYSTEM
  ibrav = 0, nat = 16, ntyp = 3
/
ATOMIC_SPECIES
Pm 145.00 Pm.upf
Y 88.91 Y.upf
Cu 63.55 Cu.upf
CELL_PARAMETERS angstrom
7.0552 0.0000 0.0000
0.0000 7.0552 0.0000
0.0000 0.0000 7.0552
ATOMIC_POSITIONS angstrom
Pm 0.0000 0.0000 0.0000
Pm 0.0000 3.5276 3.5276
Pm 3.5276 0.0000 3.5276
Pm 3.5276 3.5276 0.0000
Y 0.0000 0.0000 3.5276
Y 0.0000 3.5276 0.0000
Y 3.5276 0.0000 0.0000
Y 3.5276 3.5276 3.5276
Cu 1.7638 1.7638 1.7638
Cu 1.7638 1.7638 5.2914
Cu 1.7638 5.2914 1.7638
Cu 1.7638 5.2914 5.2914
Cu 5.2914 1.7638 1.7638
Cu 5.2914 1.7638 5.2914
Cu 5.2914 5.2914 1.7638
Cu 5.2914 5.2914 5.2914
```


# 3
## PmYZnCu (PBE)

Data for a relaxed PmYZnCu crystal. Values from VASP.

Summary:
* energy of formation from the pure elements: -0.260 eV/atom
* crystal system: cubic
* total DFT energy (no corrections): -4.41 eV per atom
* symmetry: F-43m
* size of the total moment: 0.00 μB/atom

```
&SYSTEM
  ibrav = 0, nat = 16, ntyp = 4
/
ATOMIC_SPECIES
Pm 145.00 Pm.upf
Y 88.91 Y.upf
Zn 65.41 Zn.upf
Cu 63.55 Cu.upf
CELL_PARAMETERS angstrom
7.1498 0.0000 0.0000
0.0000 7.1498 0.0000
0.0000 0.0000 7.1498
ATOMIC_POSITIONS angstrom
Pm 0.0000 0.0000 0.0000
Pm 0.0000 3.5749 3.5749
Pm 3.5749 0.0000 3.5749
Pm 3.5749 3.5749 0.0000
Y 0.0000 0.0000 3.5749
Y 0.0000 3.5749 0.0000
Y 3.5749 0.0000 0.0000
Y 3.5749 3.5749 3.5749
Zn 1.7875 1.7875 5.3624
Zn 1.7875 5.3624 1.7875
Zn 5.3624 1.7875 1.7875
Zn 5.3624 5.3624 5.3624
Cu 1.7875 1.7875 1.7875
Cu 1.7875 5.3624 5.3624
Cu 5.3624 1.7875 5.3624
Cu 5.3624 5.3624 1.7875
```


# 4
## PmYZnCu (PBE)

Data for a relaxed PmYZnCu crystal. Values from VASP.

Summary:
* energy of formation from the pure elements: -0.263 eV/atom
* crystal system: tetragonal
* total DFT energy (no corrections): -4.41 eV per atom
* symmetry: P4mm
* size of the total moment: 0.00 μB/atom

```
&SYSTEM
  ibrav = 0, nat = 4, ntyp = 4
/
ATOMIC_SPECIES
Pm 145.00 Pm.upf
Y 88.91 Y.upf
Zn 65.41 Zn.upf
Cu 63.55 Cu.upf
CELL_PARAMETERS angstrom
3.5653 0.0000 0.0000
0.0000 3.5653 0.0000
0.0000 0.0000 7.1821
ATOMIC_POSITIONS angstrom
Pm 0.0000 0.0000 0.0000
Y 0.0000 0.0000 3.5025
Zn 1.7827 1.7827 5.2785
Cu 1.7827 1.7827 1.8467
```


Look up the total DFT energy (no corrections) of the third one. -4.41 eV per atom


Look up the energy of formation from the pure elements of the fourth one. -0.263 eV/atom


Look up the total DFT energy (no corrections) of the first one. -5.29 eV per atom